1.
# Pa3As3P (PBE, optimized geometry)
# DOS(E_F) ... 40.71 states/eV per cell
# Calculated volume ... 677.1 Å³ per cell
# DFT formation energy ... -0.7060 eV/atom
# Electronic total energy ... -7.54 eV per atom
data_Pa3As3P
_symmetry_space_group_name_H-M 'C 1 2/m 1'
_symmetry_Int_Tables_number 12
_cell_length_a 7.6025
_cell_length_b 12.4379
_cell_length_c 7.1610
_cell_angle_alpha 90.00
_cell_angle_beta 90.18
_cell_angle_gamma 90.00
loop_
_symmetry_equiv_pos_as_xyz
'x,y,z'
'-x,-y,-z'
'-x,y,-z'
'x,-y,z'
'x+1/2,y+1/2,z'
'-x+1/2,-y+1/2,-z'
'-x+1/2,y+1/2,-z'
'x+1/2,-y+1/2,z'
loop_
_atom_site_label
_atom_site_type_symbol
_atom_site_fract_x
_atom_site_fract_y
_atom_site_fract_z
Pa1 Pa 0.0544 0.0000 0.2624
Pa2 Pa 0.1761 0.3374 0.2276
As1 As 0.0000 0.1772 0.0000
As2 As 0.0000 0.2012 0.5000
As3 As 0.0990 0.5000 0.8668
P1 P 0.2090 0.5000 0.4606



2.
# Ac2BiTe (PBE, optimized geometry)
# DOS(E_F) ... 13.71 states/eV per cell
# ΔE_f (raw) ... -1.103 eV/atom
# Calculated volume ... 562.9 Å³ per cell
# Energy relative to the lowest polymorph listed for this composition ... 169 meV/atom
# Electronic total energy ... -4.91 eV per atom
data_Ac2BiTe
_symmetry_space_group_name_H-M 'F m -3 m'
_symmetry_Int_Tables_number 225
_symmetry_space_group_name_Hall '-F 4 2 3'
_cell_length_a 8.2568
_cell_length_b 8.2568
_cell_length_c 8.2568
_cell_angle_alpha 90.00
_cell_angle_beta 90.00
_cell_angle_gamma 90.00
loop_
_atom_site_label
_atom_site_type_symbol
_atom_site_fract_x
_atom_site_fract_y
_atom_site_fract_z
Ac1 Ac 0.2500 0.2500 0.2500
Bi1 Bi 0.0000 0.0000 0.0000
Te1 Te 0.0000 0.0000 0.5000



3.
# Pm6Pr2Er5 (PBE, optimized geometry)
# DOS(E_F) ... 31.23 states/eV per cell
# Calculated volume ... 878.8 Å³ per cell
# DFT formation energy ... 0.1011 eV/atom
# Electronic total energy ... -4.58 eV per atom
data_Pm6Pr2Er5
_symmetry_space_group_name_H-M 'P b a m'
_symmetry_Int_Tables_number 55
_cell_length_a 11.8209
_cell_length_b 20.4366
_cell_length_c 3.6376
_cell_angle_alpha 90.00
_cell_angle_beta 90.00
_cell_angle_gamma 90.00
loop_
_symmetry_equiv_pos_as_xyz
'x,y,z'
'-x,-y,-z'
'-x,-y,z'
'x,y,-z'
'x+1/2,-y+1/2,-z'
'-x+1/2,y+1/2,z'
'-x+1/2,y+1/2,-z'
'x+1/2,-y+1/2,z'
loop_
_atom_site_label
_atom_site_type_symbol
_atom_site_fract_x
_atom_site_fract_y
_atom_site_fract_z
Pm1 Pm 0.0586 0.0771 0.0000
Pm2 Pm 0.0795 0.3647 0.0000
Pm3 Pm 0.1775 0.6254 0.5000
Pr1 Pr 0.1658 0.7838 0.0000
Er1 Er 0.0000 0.5000 0.5000
Er2 Er 0.0949 0.2218 0.5000
Er3 Er 0.1997 0.9452 0.5000



4.
# Sr2Cu2Au (PBE, optimized geometry)
# DOS(E_F) ... 4.57 states/eV per cell
# Calculated volume ... 264.0 Å³ per cell
# Energy relative to the lowest polymorph listed for this composition ... 145 meV/atom
# DFT formation energy ... -0.1766 eV/atom
# Electronic total energy ... -3.14 eV per atom
data_Sr2Cu2Au
_symmetry_space_group_name_H-M 'I 4/m m m'
_symmetry_Int_Tables_number 139
_symmetry_space_group_name_Hall '-I 4 2'
_cell_length_a 5.9030
_cell_length_b 5.9030
_cell_length_c 7.5766
_cell_angle_alpha 90.00
_cell_angle_beta 90.00
_cell_angle_gamma 90.00
loop_
_atom_site_label
_atom_site_type_symbol
_atom_site_fract_x
_atom_site_fract_y
_atom_site_fract_z
Sr1 Sr 0.0000 0.5000 0.2500
Cu1 Cu 0.0000 0.0000 0.1548
Au1 Au 0.0000 0.0000 0.5000